## FePbAu2O6 (GGA+U)

Data for FePbAu2O6 after structural relaxation.

Results
- DOS(E_F) (states/eV/cell) = 6.83
- final energy (eV per cell) = -100.5

POSCAR file:
```
FePbAu2O6
1.0
-1.942 4.680 4.893
-5.933 2.611 -2.503
-3.861 -3.746 4.398
O Au Fe Pb
12 4 2 2
direct
0.324 0.454 0.247 O
0.808 0.882 0.842 O
0.539 0.769 0.257 O
0.961 0.743 0.231 O
0.461 0.231 0.743 O
0.192 0.118 0.158 O
0.824 0.247 0.454 O
0.039 0.257 0.769 O
0.176 0.753 0.546 O
0.308 0.842 0.882 O
0.692 0.158 0.118 O
0.676 0.546 0.753 O
0.570 0.360 0.359 Au
0.070 0.359 0.360 Au
0.430 0.640 0.641 Au
0.930 0.641 0.640 Au
0.250 0.124 0.876 Fe
0.750 0.876 0.124 Fe
0.250 0.792 0.208 Pb
0.750 0.208 0.792 Pb
```